The following is a PBE-GGA calculation of ErScIrPt after structural relaxation, from Alexandria via LeMat-Bulk.

Cell lengths 4.741, 4.741, 4.741 Å; angles 60.00, 60.00, 60.00 degrees
Positions (direct):
Sc  0.500  0.500  0.500
Ir  0.250  0.250  0.250
Pt  0.750  0.750  0.750
Er  0.000  0.000  0.000

Summary:
ΔE_f, eV per atom: -1.0646
E_tot, eV/atom: -7.5136
Calculated volume, Å³ per atom: 18.83